(1)
{
  "formula": "TiZnTe",
  "functional": "PBE-GGA",
  "state": "optimized geometry",
  "cell": [[4.285, 0.000, 0.000], [0.000, 4.285, 0.000], [0.000, 0.000, 13.124]],
  "species": ["Te", "Ti", "Zn", "Te", "Zn", "Te", "Ti", "Zn", "Ti", "Te", "Ti", "Zn"],
  "fractional_positions": [[0.500, 0.500, 0.350], [0.000, 0.500, 0.500], [0.500, 0.500, 0.134], [0.500, 0.500, 0.650], [0.000, 0.000, 0.634], [0.000, 0.000, 0.150], [0.500, 0.000, 0.000], [0.000, 0.000, 0.366], [0.500, 0.000, 0.500], [0.000, 0.000, 0.850], [0.000, 0.500, 0.000], [0.500, 0.500, 0.866]],
  "formation_energy_uncorrected_ev_per_atom": -0.34,
  "de_polymorph_ev_per_fu": 0.157,
  "space_group": "I4/mmm, No. 139",
  "energy_ev_per_cell": -53.277
}

***

(2)
{
  "formula": "CaScFe2",
  "functional": "PBE-GGA",
  "state": "optimized geometry",
  "cell": [[3.425, 0.000, 0.000], [0.000, 3.425, 0.000], [0.000, 0.000, 6.623]],
  "species": ["Sc", "Fe", "Ca", "Fe"],
  "fractional_positions": [[0.500, 0.500, 0.250], [0.000, 0.000, 0.431], [0.500, 0.500, 0.750], [0.000, 0.000, 0.069]],
  "formation_energy_ev_per_atom": 0.24,
  "space_group": "P4/mmm, No. 123",
  "energy_ev_per_cell": -24.312
}

***

(3)
{
  "formula": "HoGeHIr2",
  "functional": "PBE-GGA",
  "state": "optimized geometry",
  "cell": [[-0.180, -3.085, -2.337], [3.619, -1.020, 4.281], [-5.462, -2.692, 3.975]],
  "species": ["Ho", "Ge", "Ir", "Ir", "Ir", "H", "Ir", "Ho", "Ge", "H"],
  "fractional_positions": [[0.554, 0.108, 0.250], [0.272, 0.545, 0.250], [0.156, 0.312, 0.554], [0.156, 0.312, 0.946], [0.844, 0.688, 0.446], [0.000, 0.000, 0.000], [0.844, 0.688, 0.054], [0.446, 0.892, 0.750], [0.728, 0.455, 0.750], [0.000, 0.000, 0.500]],
  "space_group": "Cmcm, No. 63",
  "energy_ev_per_cell": -66.184
}